*a*
{"formula": "Tl2FePb", "functional": "PBE-GGA", "state": "optimized geometry", "lattice_angstrom": [[10.2120, 0.1077, 0.0636], [9.6038, 3.4734, 0.0636], [9.6038, 1.7356, 3.0094]], "species": ["Tl", "Tl", "Pb", "Fe"], "frac_coords": [[0.9862, 0.9862, 0.9862], [0.5138, 0.5138, 0.5138], [0.7500, 0.7500, 0.7500], [0.2500, 0.2500, 0.2500]], "magmom_total_mub_per_fu": 3.11}

---

*b*
{"formula": "Tl2FePb", "functional": "PBE-GGA", "state": "optimized geometry", "lattice_angstrom": [[4.3392, 0.0000, 0.0000], [0.0000, 4.3392, 0.0000], [2.1696, 2.1696, 11.2619]], "species": ["Pb", "Pb", "Tl", "Tl", "Tl", "Tl", "Fe", "Fe"], "frac_coords": [[0.7500, 0.2500, 0.5000], [0.0000, 0.0000, 0.0000], [0.1377, 0.6250, 0.2500], [0.3750, 0.3877, 0.7500], [0.8750, 0.8623, 0.7500], [0.6123, 0.1250, 0.2500], [0.2500, 0.7500, 0.5000], [0.5000, 0.5000, 0.0000]], "magmom_total_mub_per_fu": 2.91}

---

*c*
{"formula": "Tl2FePb", "functional": "PBE-GGA", "state": "optimized geometry", "lattice_angstrom": [[3.3063, -0.1748, 0.0000], [-0.2273, 3.3031, 0.0000], [0.0000, 0.0000, 9.3077]], "species": ["Fe", "Tl", "Tl", "Pb"], "frac_coords": [[0.0000, 0.0000, 0.4937], [0.5000, 0.5000, 0.3003], [0.0000, 0.0000, 0.0119], [0.5000, 0.5000, 0.6941]], "magmom_total_mub_per_fu": 2.64}

---

Q: Which of them is the most stable? A: *c*.

---

*a*
{"formula": "Tl2FePb", "functional": "PBE-GGA", "state": "optimized geometry", "lattice_angstrom": [[-4.6852, 3.1869, -5.1780], [-5.3948, 0.0516, -5.4602], [-4.0170, 0.7240, 2.0564]], "species": ["Tl", "Tl", "Pb", "Fe"], "frac_coords": [[0.5697, 0.5697, 0.4304], [0.9303, 0.9303, 0.0696], [0.7500, 0.7500, 0.7500], [0.2500, 0.2500, 0.2500]], "magmom_total_mub_per_fu": 2.47}

---

*b*
{"formula": "Tl2FePb", "functional": "PBE-GGA", "state": "optimized geometry", "lattice_angstrom": [[5.7148, 0.0001, 0.0000], [1.9213, 5.3822, 0.0000], [-3.8180, -2.6911, 3.2923]], "species": ["Fe", "Pb", "Tl", "Tl"], "frac_coords": [[0.5000, 0.5000, 0.0000], [0.7500, 0.2500, 0.5000], [0.0000, 0.0000, 0.0000], [0.2500, 0.7500, 0.5000]], "magmom_total_mub_per_fu": 3.08}

---

*c*
{"formula": "Tl2FePb", "functional": "PBE-GGA", "state": "optimized geometry", "lattice_angstrom": [[-2.5308, 5.4207, -0.4341], [-4.2740, 1.2795, 4.0092], [5.5881, -2.1732, 0.1669]], "species": ["Tl", "Tl", "Fe", "Pb"], "frac_coords": [[0.0000, 0.0000, 0.0000], [0.5000, 0.5000, 0.0000], [0.2500, 0.7500, 0.5000], [0.7500, 0.2500, 0.5000]], "magmom_total_mub_per_fu": 3.14}

---

*d*
{"formula": "Tl2FePb", "functional": "PBE-GGA", "state": "optimized geometry", "lattice_angstrom": [[5.2899, 0.0000, 0.0000], [2.6450, 4.5812, 0.0000], [2.6450, 1.5271, 4.3192]], "species": ["Tl", "Tl", "Fe", "Pb"], "frac_coords": [[0.0000, 0.0000, 0.0000], [0.2500, 0.2500, 0.2500], [0.5000, 0.5000, 0.5000], [0.7500, 0.7500, 0.7500]], "magmom_total_mub_per_fu": 3.19}

---

Q: Which of them is the most stable? A: *a*.

---

*a*
{"formula": "TlFePb", "functional": "PBE-GGA", "state": "optimized geometry", "lattice_angstrom": [[4.8616, 0.0000, 0.0000], [-2.4308, 4.2103, 0.0000], [0.0000, 0.0000, 3.5732]], "species": ["Pb", "Tl", "Fe"], "frac_coords": [[0.6667, 0.3333, 0.2726], [0.3333, 0.6667, 0.7686], [0.0000, 0.0000, 0.9589]], "magmom_total_mub_per_fu": 3.04}

---

*b*
{"formula": "TlFePb", "functional": "PBE-GGA", "state": "optimized geometry", "lattice_angstrom": [[-4.1576, -0.7672, -2.0518], [-2.5441, -3.7698, 1.1833], [-3.9679, 0.5219, 2.4634]], "species": ["Tl", "Pb", "Fe"], "frac_coords": [[0.5000, 0.5000, 0.5000], [0.0000, 0.0000, 0.0000], [0.7500, 0.7500, 0.7500]], "magmom_total_mub_per_fu": 2.45}

---

*c*
{"formula": "TlFePb", "functional": "PBE-GGA", "state": "optimized geometry", "lattice_angstrom": [[-4.9101, -0.5971, 5.0176], [-6.5517, -1.2277, 2.2673], [0.0410, -3.1814, 0.7305]], "species": ["Tl", "Fe", "Pb"], "frac_coords": [[0.6374, 0.6374, 0.3626], [0.0026, 0.0026, 0.9974], [0.3600, 0.3600, 0.6400]], "magmom_total_mub_per_fu": 2.59}

---

*d*
{"formula": "TlFePb", "functional": "PBE-GGA", "state": "optimized geometry", "lattice_angstrom": [[-1.2658, -3.1334, -0.1149], [2.2675, 0.8216, 2.3701], [-5.2805, 1.9730, 4.3680]], "species": ["Tl", "Fe", "Pb"], "frac_coords": [[0.3333, 0.6667, 0.7087], [0.0000, 0.0000, 0.9993], [0.6667, 0.3333, 0.2920]], "magmom_total_mub_per_fu": 2.51}

---

Q: Which of them is the most stable? A: *b*.

---

*a*
{"formula": "Tm2FePb", "functional": "PBE-GGA", "state": "optimized geometry", "lattice_angstrom": [[-2.6504, 1.9146, -0.6302], [-1.7283, -2.6944, -0.9169], [-2.5440, -0.9878, 7.6978]], "species": ["Tm", "Tm", "Fe", "Pb"], "frac_coords": [[0.0000, 0.0000, 0.1946], [0.0000, 0.0000, 0.8054], [0.5000, 0.5000, 0.0000], [0.5000, 0.5000, 0.5000]], "magmom_total_mub_per_fu": 0.00}

---

*b*
{"formula": "Tm2FePb", "functional": "PBE-GGA", "state": "optimized geometry", "lattice_angstrom": [[-1.8314, 1.8607, -2.3798], [-3.3677, -0.8256, -0.6759], [-4.6773, 6.5371, 6.0886]], "species": ["Tm", "Tm", "Pb", "Fe"], "frac_coords": [[0.8919, 0.8919, 0.3242], [0.1081, 0.1081, 0.6758], [0.0000, 0.0000, 0.0000], [0.5000, 0.5000, 0.5000]], "magmom_total_mub_per_fu": 0.94}

---

Q: Which of them is the most stable? A: *a*.

---

*a*
{"formula": "Tm3FePb", "functional": "PBE-GGA", "state": "optimized geometry", "lattice_angstrom": [[-2.1530, -2.3805, 2.2880], [1.5999, -6.4041, -5.1575], [5.4967, 1.1596, 6.3788]], "species": ["Tm", "Tm", "Tm", "Tm", "Tm", "Tm", "Pb", "Pb", "Fe", "Fe"], "frac_coords": [[0.7500, 0.3315, 0.8994], [0.7500, 0.0329, 0.2252], [0.2500, 0.3258, 0.5770], [0.7500, 0.6742, 0.4230], [0.2500, 0.9671, 0.7748], [0.2500, 0.6685, 0.1006], [0.7500, 0.6746, 0.8031], [0.2500, 0.3254, 0.1969], [0.7500, 0.0548, 0.5666], [0.2500, 0.9452, 0.4334]], "magmom_total_mub_per_fu": 0.85}

---

*b*
{"formula": "Tm3FePb", "functional": "PBE-GGA", "state": "optimized geometry", "lattice_angstrom": [[-4.2524, -2.5412, -1.1193], [2.2201, -4.3411, 1.4211], [-1.6678, 0.7006, 4.7456]], "species": ["Tm", "Tm", "Tm", "Fe", "Pb"], "frac_coords": [[0.5000, 0.0000, 0.0000], [0.0000, 0.5000, 0.0000], [0.0000, 0.0000, 0.5000], [0.0000, 0.0000, 0.0000], [0.5000, 0.5000, 0.5000]], "magmom_total_mub_per_fu": 0.00}

---

Q: Which of them is the most stable? A: *a*.

---

*a*
{"formula": "Y4FePb", "functional": "PBE-GGA", "state": "optimized geometry", "lattice_angstrom": [[-3.3585, 1.9713, 4.8998], [-5.9244, 1.8501, -0.8077], [-4.6997, -3.5074, 2.1873]], "species": ["Fe", "Y", "Y", "Y", "Y", "Pb"], "frac_coords": [[0.7500, 0.7500, 0.7500], [0.3751, 0.3751, 0.3751], [0.3751, 0.8746, 0.3751], [0.3751, 0.3751, 0.8746], [0.8746, 0.3751, 0.3751], [0.0000, 0.0000, 0.0000]], "magmom_total_mub_per_fu": 3.10}

---

*b*
{"formula": "Y4FePb", "functional": "PBE-GGA", "state": "optimized geometry", "lattice_angstrom": [[5.9354, 0.1240, -1.2342], [-2.2459, 7.1220, -2.7770], [0.1421, -0.3161, 7.9598]], "species": ["Pb", "Pb", "Y", "Y", "Y", "Y", "Y", "Y", "Y", "Y", "Fe", "Fe"], "frac_coords": [[0.2500, 0.3704, 0.6296], [0.7500, 0.6296, 0.3704], [0.3712, 0.7950, 0.6498], [0.9480, 0.0544, 0.7320], [0.1288, 0.3502, 0.2050], [0.6288, 0.2050, 0.3502], [0.8712, 0.6498, 0.7950], [0.4480, 0.7320, 0.0544], [0.5520, 0.2680, 0.9456], [0.0520, 0.9456, 0.2680], [0.2500, 0.0002, 0.9998], [0.7500, 0.9998, 0.0002]], "magmom_total_mub_per_fu": 0.00}

---

Q: Which of them is the most stable? A: *b*.